VASP calculation (PBE) on a relaxed structure of Tb2Ti2ZnRh5.

Values from the calculation:
Space-group type = P4/mbm, No. 127
Calculated density = 9.40 g cm⁻³
E_tot = -68.7 eV per formula unit
Calculated volume = 17.5 A^3/atom
Formation enthalpy at 0 K = -566 meV per atom

a = 10.101 Å, b = 10.101 Å, c = 3.439 Å
α = 90.00°, β = 90.00°, γ = 90.00°
Atoms (fractional coordinates):
1 Tb 0.177 0.323 0.000
2 Tb 0.323 0.823 0.000
3 Tb 0.677 0.177 0.000
4 Tb 0.823 0.677 0.000
5 Ti 0.125 0.625 0.000
6 Ti 0.375 0.125 0.000
7 Ti 0.625 0.875 0.000
8 Ti 0.875 0.375 0.000
9 Zn 0.000 0.000 0.000
10 Zn 0.500 0.500 0.000
11 Rh 0.000 0.500 0.500
12 Rh 0.061 0.798 0.500
13 Rh 0.202 0.061 0.500
14 Rh 0.298 0.561 0.500
15 Rh 0.439 0.298 0.500
16 Rh 0.500 0.000 0.500
17 Rh 0.561 0.702 0.500
18 Rh 0.702 0.439 0.500
19 Rh 0.798 0.939 0.500
20 Rh 0.939 0.202 0.500